Record 1
The following is a PBE-GGA calculation of TlIrRu2 after structural relaxation, from Alexandria via LeMat-Bulk.

```
TlIrRu2
1.0
-7.122 4.573 3.678
-8.560 2.408 2.470
-7.417 2.090 5.078
Ir Ru Tl
1 2 1
Direct
0.750 0.750 0.750
0.005 0.005 0.005
0.495 0.495 0.495
0.250 0.250 0.250
```

Total magnetic moment ... 0.000 μB/atom
Calculated density ... 15.4 g cm⁻³


Record 2
The following is a PBE-GGA calculation of TlIrRu after structural relaxation, from Alexandria via LeMat-Bulk.

```
TlIrRu
1.0
6.386 0.001 -0.001
5.716 2.848 0.003
0.670 0.153 2.843
Ir Ru Tl
1 1 1
Direct
0.019 0.019 0.981
0.650 0.650 0.350
0.331 0.331 0.669
```

Total magnetic moment ... 0.000 μB/atom
Calculated density ... 16.0 g cm⁻³


Record 3
The following is a PBE-GGA calculation of Tl2IrRu after structural relaxation, from Alexandria via LeMat-Bulk.

```
Tl2IrRu
1.0
4.517 0.000 0.000
0.000 3.094 0.008
0.000 0.139 5.446
Ir Ru Tl
1 1 2
Direct
0.500 0.250 0.250
0.500 0.750 0.750
0.000 0.012 0.998
0.000 0.488 0.502
```

Total magnetic moment ... 0.000 μB/atom
Calculated density ... 15.3 g cm⁻³


Record 4
The following is a PBE-GGA calculation of TlIrRu2 after structural relaxation, from Alexandria via LeMat-Bulk.

```
TlIrRu2
1.0
5.645 -0.017 0.005
2.959 4.808 -0.005
-3.672 -3.527 2.438
Ir Ru Tl
1 2 1
Direct
0.250 0.750 0.500
0.022 0.022 0.000
0.478 0.478 0.000
0.750 0.250 0.500
```

Total magnetic moment ... 0.000 μB/atom
Calculated density ... 15.0 g cm⁻³


Record 5
The following is a PBE-GGA calculation of TlIr2Ru after structural relaxation, from Alexandria via LeMat-Bulk.

```
TlIr2Ru
1.0
-1.948 1.791 1.197
-1.690 -3.584 2.610
3.093 1.056 3.453
Ir Ru Tl
2 1 1
Direct
0.000 0.000 0.000
0.500 0.500 0.000
0.500 0.000 0.500
0.000 0.500 0.500
```

Total magnetic moment ... 0.334 μB/atom
Calculated density ... 17.5 g cm⁻³


Record 6
The following is a PBE-GGA calculation of TlIr2Ru after structural relaxation, from Alexandria via LeMat-Bulk.

```
TlIr2Ru
1.0
-3.633 3.246 0.597
-1.961 -0.529 4.468
4.644 0.519 -1.500
Ir Ru Tl
2 1 1
Direct
0.000 0.000 0.000
0.500 0.500 0.000
0.250 0.750 0.500
0.750 0.250 0.500
```

Total magnetic moment ... 0.000 μB/atom
Calculated density ... 17.8 g cm⁻³


Record 7
The following is a PBE-GGA calculation of TlIr2Ru after structural relaxation, from Alexandria via LeMat-Bulk.

```
TlIr2Ru
1.0
2.853 -0.004 0.000
0.003 2.853 0.000
0.000 0.000 8.014
Ir Ru Tl
2 1 1
Direct
0.000 0.000 0.028
0.000 0.000 0.472
0.500 0.500 0.250
0.500 0.500 0.750
```

Total magnetic moment ... 0.000 μB/atom
Calculated density ... 17.6 g cm⁻³


Record 8
The following is a PBE-GGA calculation of TlIr2Ru after structural relaxation, from Alexandria via LeMat-Bulk.

```
TlIr2Ru
1.0
-2.219 -3.414 3.954
2.336 -5.002 1.320
0.238 5.662 -0.324
Ir Ru Tl
2 1 1
Direct
0.979 0.979 0.000
0.521 0.521 0.000
0.750 0.250 0.500
0.250 0.750 0.500
```

Total magnetic moment ... 0.000 μB/atom
Calculated density ... 17.3 g cm⁻³


no.,total energy (eV per cell),formation energy (kJ/mol of atoms),polymorph energy (0 for the lowest one) (meV per atom)
1,-27.7,50.93,133
2,-19.2,41.27,0
3,-20.0,69.59,299
4,-27.2,62.87,257
5,-26.8,61.48,272
6,-27.5,44.51,96
7,-27.9,35.25,0
8,-27.1,54.94,204